# HoEr6Co3 | Alexandria via LeMat-Bulk | GGA-PBE | optimized geometry
# - mass density (g/cm³) = 9.11
# - energy of formation (eV/atom) = -0.08
# - energy (eV per atom) = -5.408
# - volume (A^3/atom) = 24.52
# - total magnetization (μB per formula unit) = 0.00
data_HoEr6Co3
_space_group_name_H-M_alt 'C m c 21'
_space_group_IT_number 36
_cell_length_a 11.368
_cell_length_b 12.090
_cell_length_c 7.135
_cell_angle_alpha 90.00
_cell_angle_beta 90.00
_cell_angle_gamma 90.00
loop_
_space_group_symop_operation_xyz
'x,y,z'
'-x,-y,z+1/2'
'-x,y,z'
'x,-y,z+1/2'
'x+1/2,y+1/2,z'
'-x+1/2,-y+1/2,z+1/2'
'-x+1/2,y+1/2,z'
'x+1/2,-y+1/2,z+1/2'
loop_
_atom_site_label
_atom_site_type_symbol
_atom_site_fract_x
_atom_site_fract_y
_atom_site_fract_z
_atom_site_occupancy
Ho1 Ho 0.000 0.185 0.000 1
Er1 Er 0.000 0.169 0.497 1
Er2 Er 0.000 0.482 0.748 1
Er3 Er 0.215 0.000 0.499 1
Er4 Er 0.247 0.251 0.741 1
Co1 Co 0.000 0.002 0.748 1
Co2 Co 0.110 0.361 0.479 1